This record from the Alexandria database describes a geometry-optimized Mg2ZnWN4 structure. The functional is GGA-PBE.

Calculated values
Theoretical density = 5.65 g/cm³
Total moment = 0.0 μB/cell
Formation energy (no corrections) = -0.65 eV/atom

Unit cell a=5.768 b=5.768 c=5.768 alpha=131.95 beta=131.95 gamma=70.31
Atoms (fractional coordinates):
Mg  0.250  0.750  0.500
Mg  0.750  0.250  0.500
Zn  0.000  0.000  0.000
W  0.500  0.500  0.000
N  0.152  0.615  0.000
N  0.385  0.385  0.537
N  0.615  0.152  0.000
N  0.848  0.848  0.463



This record from the Alexandria database describes a geometry-optimized Sb2WCl structure. The functional is GGA-PBE.

Calculated values
Excess energy over the best structure of this formula in the dataset = 1.81 kJ per mole of atoms
Theoretical density = 8.25 g/cm³
Total moment = 0.0 μB/cell
Formation energy (no corrections) = 0.19 eV/atom

Unit cell a=3.426 b=3.348 c=8.143 alpha=90.00 beta=94.39 gamma=90.00
Atoms (fractional coordinates):
Sb  0.036  0.000  0.198
Sb  0.964  0.000  0.802
W  0.500  0.500  0.000
Cl  0.000  0.500  0.500